(1)
{
  "formula": "CaCeAl2Ge2",
  "functional": "PBE",
  "state": "optimized geometry",
  "cell": [[4.2296, 0.0000, 0.0000], [-2.1148, 3.6630, 0.0000], [0.0000, 0.0000, 8.7834]],
  "species": ["Ca", "Ce", "Al", "Al", "Ge", "Ge"],
  "fractional_positions": [[0.0000, 0.0000, 0.5000], [0.0000, 0.0000, 0.0000], [0.3333, 0.6667, 0.7802], [0.6667, 0.3333, 0.2198], [0.3333, 0.6667, 0.2746], [0.6667, 0.3333, 0.7254]],
  "total_energy_ev_per_atom": -4.612,
  "spacegroup": "P-3m1 (164)"
}



(2)
{
  "formula": "MgAgIr2Cl",
  "functional": "PBE",
  "state": "optimized geometry",
  "cell": [[-4.0368, -2.5606, -0.2513], [2.2810, -3.3765, -2.2366], [1.0496, -2.0657, 4.1889]],
  "species": ["Mg", "Ir", "Ir", "Ag", "Cl"],
  "fractional_positions": [[0.0000, 0.0000, 0.0000], [0.0000, 0.0000, 0.5000], [0.5000, 0.0000, 0.0000], [0.5000, 0.5000, 0.5000], [0.0000, 0.5000, 0.0000]],
  "raw_formation_energy_ev_per_atom": 1.3473,
  "relative_energy_ev_per_fu": 0.000,
  "spacegroup": "P4/mmm (123)"
}



(3)
{
  "formula": "MgNiCl",
  "functional": "PBE",
  "state": "optimized geometry",
  "cell": [[-2.3086, -3.0795, -1.2894], [1.4315, 0.0116, 3.7982], [-2.7467, 1.6276, 1.0302]],
  "species": ["Cl", "Mg", "Ni"],
  "fractional_positions": [[0.0000, 0.0000, 0.8336], [0.3333, 0.6667, 0.3335], [0.6667, 0.3333, 0.8328]],
  "raw_formation_energy_ev_per_atom": -0.1009,
  "relative_energy_ev_per_fu": 0.570,
  "spacegroup": "P-6m2 (187)"
}



(4)
{
  "formula": "K3TlIn2O6",
  "functional": "PBE",
  "state": "optimized geometry",
  "cell": [[5.9019, -0.0006, 0.0003], [-2.9500, 5.1117, 0.0003], [-0.9843, -1.7044, 6.1810]],
  "species": ["K", "K", "K", "Tl", "In", "In", "O", "O", "O", "O", "O", "O"],
  "fractional_positions": [[0.1650, 0.8350, 0.5000], [0.8350, 0.1650, 0.5000], [0.5000, 0.5000, 0.5000], [0.0000, 0.0000, 0.0000], [0.3332, 0.6668, 0.0000], [0.6668, 0.3332, 0.0000], [0.9366, 0.5916, 0.8100], [0.7182, 0.7182, 0.1897], [0.0634, 0.4084, 0.1900], [0.5916, 0.9366, 0.8100], [0.2818, 0.2818, 0.8103], [0.4084, 0.0634, 0.1900]],
  "raw_formation_energy_ev_per_atom": -1.3954,
  "spacegroup": "C2/m (12)"
}



(5)
{
  "formula": "KNa2HI",
  "functional": "PBE",
  "state": "optimized geometry",
  "cell": [[4.9674, 0.0000, 0.0000], [0.0000, 4.9674, 0.0000], [0.0000, 0.0000, 6.1866]],
  "species": ["I", "Na", "Na", "K", "H"],
  "fractional_positions": [[0.5000, 0.5000, 0.5000], [0.0000, 0.5000, 0.0000], [0.5000, 0.0000, 0.0000], [0.0000, 0.0000, 0.5000], [0.0000, 0.0000, 0.0000]],
  "total_energy_ev_per_atom": -2.160,
  "spacegroup": "P4/mmm (123)"
}



(6)
{
  "formula": "Rb3U3TaSe8",
  "functional": "PBE",
  "state": "optimized geometry",
  "cell": [[-3.4095, -1.3234, -7.2662], [-4.4160, -0.8474, 6.7800], [1.8850, 9.0166, -2.5267]],
  "species": ["Rb", "Rb", "Rb", "U", "U", "U", "Ta", "Se", "Se", "Se", "Se", "Se", "Se", "Se", "Se"],
  "fractional_positions": [[0.0000, 0.0000, 0.0000], [0.0000, 0.5000, 0.0000], [0.5000, 0.5000, 0.0000], [0.5000, 0.0000, 0.5000], [0.5000, 0.5000, 0.5000], [0.0000, 0.5000, 0.5000], [0.0000, 0.0000, 0.5000], [0.2654, 0.5308, 0.2974], [0.7346, 0.4692, 0.7026], [0.7806, 0.5612, 0.3109], [0.2194, 0.4388, 0.6891], [0.7809, 0.0297, 0.3111], [0.2191, 0.9703, 0.6889], [0.2488, 0.0297, 0.3111], [0.7512, 0.9703, 0.6889]],
  "raw_formation_energy_ev_per_atom": -1.1109,
  "spacegroup": "R-3m (166)"
}



(7)
{
  "formula": "Ac2TmTe5Au",
  "functional": "PBE",
  "state": "optimized geometry",
  "cell": [[-2.3030, 3.8414, 0.3612], [-2.9614, -5.1650, 8.0972], [10.0574, 5.3621, 7.0986]],
  "species": ["Ac", "Ac", "Ac", "Ac", "Tm", "Tm", "Te", "Te", "Te", "Te", "Te", "Te", "Te", "Te", "Te", "Te", "Au", "Au"],
  "fractional_positions": [[0.8762, 0.7523, 0.8099], [0.1142, 0.2284, 0.6895], [0.1238, 0.2477, 0.3099], [0.8858, 0.7716, 0.1895], [0.8119, 0.6238, 0.5097], [0.1881, 0.3762, 0.0097], [0.3491, 0.6982, 0.0020], [0.6975, 0.3949, 0.8474], [0.5002, 0.0003, 0.7772], [0.2894, 0.5788, 0.6649], [0.9577, 0.9153, 0.5665], [0.6509, 0.3018, 0.5020], [0.3025, 0.6051, 0.3474], [0.4998, 0.9997, 0.2772], [0.7106, 0.4212, 0.1649], [0.0423, 0.0847, 0.0665], [0.5742, 0.1485, 0.9568], [0.4258, 0.8515, 0.4568]],
  "raw_formation_energy_ev_per_atom": -1.2961,
  "spacegroup": "Cmc2_1 (36)"
}



(8)
{
  "formula": "VIrSe2",
  "functional": "PBE",
  "state": "optimized geometry",
  "cell": [[0.0000, 3.1396, 3.1396], [3.1396, 0.0000, 3.1396], [3.1396, 3.1396, 0.0000]],
  "species": ["Ir", "Se", "Se", "V"],
  "fractional_positions": [[0.5000, 0.5000, 0.5000], [0.2500, 0.2500, 0.2500], [0.7500, 0.7500, 0.7500], [0.0000, 0.0000, 0.0000]],
  "raw_formation_energy_ev_per_atom": 0.1420,
  "relative_energy_ev_per_fu": 1.167,
  "spacegroup": "Fm-3m (225)"
}



Number 1: total magnetic moment 0.3 μB per cell. Number 2: total magnetic moment 2.2 μB per cell. Number 3: total magnetic moment 0.0 μB per cell. Number 4: total magnetic moment 0.0 μB per cell. Number 5: total magnetic moment 0.0 μB per cell. Number 6: total magnetic moment 10.0 μB per cell. Number 7: total magnetic moment 0.0 μB per cell. Number 8: total magnetic moment 0.0 μB per cell.